(1)
Material: TbErSb2
Method: DFT, GGA-PBE
State: optimized geometry

Unit cell a=4.372 b=4.372 c=6.183 alpha=90.00 beta=90.00 gamma=90.00
Sites, in units of the cell vectors:
Tb 0.000 0.000 0.000
Er 0.500 0.500 0.500
Sb 0.000 0.000 0.500
Sb 0.500 0.500 0.000

electronic total energy: -21.916 eV per formula unit
mass density: 8.0 Mg/m³



(2)
Material: ErMgPb2
Method: DFT, GGA-PBE
State: optimized geometry

Unit cell a=4.912 b=4.912 c=4.368 alpha=90.00 beta=90.00 gamma=90.00
Sites, in units of the cell vectors:
Er 0.000 0.000 0.000
Mg 0.500 0.500 0.000
Pb 0.000 0.500 0.500
Pb 0.500 0.000 0.500

electronic total energy: -14.716 eV per formula unit
mass density: 9.5 Mg/m³



(3)
Material: ErNbCd
Method: DFT, GGA-PBE
State: optimized geometry

Unit cell a=6.845 b=6.845 c=6.845 alpha=90.00 beta=90.00 gamma=90.00
Sites, in units of the cell vectors:
Er 0.000 0.000 0.000
Er 0.000 0.500 0.500
Er 0.500 0.000 0.500
Er 0.500 0.500 0.000
Nb 0.250 0.250 0.750
Nb 0.250 0.750 0.250
Nb 0.750 0.250 0.250
Nb 0.750 0.750 0.750
Cd 0.000 0.000 0.500
Cd 0.000 0.500 0.000
Cd 0.500 0.000 0.000
Cd 0.500 0.500 0.500

electronic total energy: -12.971 eV per formula unit
energy above the lowest structure with this stoichiometry: 0 meV/atom
calculated formation energy: 83.0 kJ/mol of atoms
mass density: 7.7 Mg/m³